A plane-wave DFT calculation with GGA-PBE was carried out for a geometry-optimized SrEr4TmS8 structure.

Output
DOS at the Fermi energy = 3.50 states/eV/f.u.
raw formation energy = -1985 meV per atom
space-group type = No. 160

a b c (Å): 8.085 8.085 8.085
angles (deg): 60.06 60.06 60.06
Element x y z (fractional)
Sr1 0.000 0.000 0.000
Er1 0.373 0.373 0.881
Er2 0.373 0.881 0.373
Er3 0.750 0.750 0.750
Er4 0.881 0.373 0.373
Tm1 0.373 0.373 0.373
S1 0.140 0.140 0.140
S2 0.140 0.140 0.581
S3 0.140 0.581 0.140
S4 0.148 0.617 0.617
S5 0.581 0.140 0.140
S6 0.617 0.148 0.617
S7 0.617 0.617 0.148
S8 0.618 0.618 0.618

A plane-wave DFT calculation with GGA-PBE was carried out for a geometry-optimized PW structure.

Output
DOS at the Fermi energy = 1.25 states/eV/f.u.
energy of formation from the pure elements = 0.415 eV/atom
space-group type = No. 217

a b c (Å): 7.528 7.528 7.528
angles (deg): 90.00 90.00 90.00
Element x y z (fractional)
P1 0.186 0.186 0.186
P2 0.186 0.814 0.814
P3 0.314 0.314 0.686
P4 0.314 0.686 0.314
P5 0.686 0.314 0.314
P6 0.686 0.686 0.686
P7 0.814 0.186 0.814
P8 0.814 0.814 0.186
W1 0.126 0.126 0.874
W2 0.126 0.874 0.126
W3 0.374 0.374 0.374
W4 0.374 0.626 0.626
W5 0.626 0.374 0.626
W6 0.626 0.626 0.374
W7 0.874 0.126 0.126
W8 0.874 0.874 0.874

A plane-wave DFT calculation with GGA-PBE was carried out for a geometry-optimized CdSiPt2 structure.

Output
DOS at the Fermi energy = 1.55 states/eV/f.u.
raw formation energy = -484 meV per atom
space-group type = No. 62

a b c (Å): 6.744 6.862 5.799
angles (deg): 90.00 90.00 90.00
Element x y z (fractional)
Cd1 0.013 0.250 0.150
Cd2 0.487 0.750 0.650
Cd3 0.513 0.250 0.350
Cd4 0.987 0.750 0.850
Si1 0.114 0.750 0.365
Si2 0.386 0.250 0.865
Si3 0.614 0.750 0.135
Si4 0.886 0.250 0.635
Pt1 0.195 0.046 0.588
Pt2 0.195 0.454 0.588
Pt3 0.305 0.546 0.088
Pt4 0.305 0.954 0.088
Pt5 0.695 0.046 0.912
Pt6 0.695 0.454 0.912
Pt7 0.805 0.546 0.412
Pt8 0.805 0.954 0.412

A plane-wave DFT calculation with GGA-PBE was carried out for a geometry-optimized NaTlSb2 structure.

Output
DOS at the Fermi energy = 2.15 states/eV/f.u.
raw formation energy = -120 meV per atom
excess energy over the best structure of this formula in the dataset = 0.118 eV per formula unit
space-group type = No. 123

a b c (Å): 3.276 3.276 10.540
angles (deg): 90.00 90.00 90.00
Element x y z (fractional)
Na1 0.000 0.000 0.000
Tl1 0.000 0.000 0.500
Sb1 0.500 0.500 0.233
Sb2 0.500 0.500 0.767

A plane-wave DFT calculation with GGA-PBE was carried out for a geometry-optimized Tm3Hg8 structure.

Output
DOS at the Fermi energy = 6.07 states/eV/f.u.
energy of formation from the pure elements = -0.278 eV/atom
space-group type = No. 166

a b c (Å): 12.244 12.244 12.244
angles (deg): 23.65 23.65 23.65
Element x y z (fractional)
Tm1 0.000 0.000 0.000
Tm2 0.451 0.451 0.451
Tm3 0.549 0.549 0.549
Hg1 0.087 0.087 0.087
Hg2 0.174 0.174 0.174
Hg3 0.271 0.271 0.271
Hg4 0.362 0.362 0.362
Hg5 0.638 0.638 0.638
Hg6 0.729 0.729 0.729
Hg7 0.826 0.826 0.826
Hg8 0.913 0.913 0.913

A plane-wave DFT calculation with GGA-PBE was carried out for a geometry-optimized Sr2TaAg structure.

Output
DOS at the Fermi energy = 7.23 states/eV/f.u.
excess energy over the best structure of this formula in the dataset = 1.879 eV per formula unit
energy of formation from the pure elements = 1.008 eV/atom
space-group type = No. 122

a b c (Å): 8.763 8.763 6.535
angles (deg): 90.00 90.00 90.00
Element x y z (fractional)
Sr1 0.221 0.750 0.125
Sr2 0.250 0.221 0.875
Sr3 0.250 0.279 0.375
Sr4 0.279 0.750 0.625
Sr5 0.721 0.250 0.625
Sr6 0.750 0.721 0.375
Sr7 0.750 0.779 0.875
Sr8 0.779 0.250 0.125
Ta1 0.000 0.000 0.500
Ta2 0.000 0.500 0.750
Ta3 0.500 0.000 0.250
Ta4 0.500 0.500 0.000
Ag1 0.000 0.000 0.000
Ag2 0.000 0.500 0.250
Ag3 0.500 0.000 0.750
Ag4 0.500 0.500 0.500

no.,M_tot (μB/f.u.)
1,0.000
2,0.000
3,0.000
4,0.000
5,0.000
6,3.403